## CsPrHgSe3 (GGA-PBE)

Data for CsPrHgSe3 after structural relaxation.

It has space group P2_1/m (No. 11), with a = 9.635 Å, b = 4.434 Å, c = 10.714 Å, α = 90.00°, β = 109.24° and γ = 90.00°. The asymmetric unit holds Cs at (0.221, 0.250, 0.248), Pr at (0.327, 0.750, 0.863), Hg at (0.091, 0.250, 0.619), Se at (0.112, 0.250, 0.871), Se at (0.214, 0.750, 0.546) and Se at (0.471, 0.750, 0.150).

The value obtained for the formation energy (no corrections) is -1215.0 meV per atom. The total energy comes out at -3.946 eV/atom. The crystal system is monoclinic. For the calculated volume, the calculation gives 36.006 A^3/atom.

## CsPrHg2Se4 (GGA-PBE)

Data for CsPrHg2Se4 after structural relaxation.

It has space group I222 (No. 23), with a = 7.229 Å, b = 8.741 Å, c = 9.582 Å, α = 90.00°, β = 90.00° and γ = 90.00°. The asymmetric unit holds Cs at (0.000, 0.000, 0.000), Pr at (0.000, 0.000, 0.500), Hg at (0.000, 0.500, 0.175) and Se at (0.232, 0.181, 0.319).

The value obtained for the formation energy (no corrections) is -881.3 meV per atom. The total energy comes out at -3.403 eV/atom. The crystal system is orthorhombic. For the calculated volume, the calculation gives 37.842 A^3/atom.

## CsPrHgSe3 (GGA-PBE)

Data for CsPrHgSe3 after structural relaxation.

It has space group Cmcm (No. 63), with a = 4.425 Å, b = 16.360 Å, c = 11.462 Å, α = 90.00°, β = 90.00° and γ = 90.00°. The asymmetric unit holds Cs at (0.000, 0.245, 0.250), Pr at (0.000, 0.500, 0.000), Hg at (0.000, 0.041, 0.750), Se at (0.000, 0.122, 0.550) and Se at (0.000, 0.437, 0.750).

The value obtained for the formation energy (no corrections) is -1245.2 meV per atom. The total energy comes out at -3.977 eV/atom. The crystal system is orthorhombic. For the calculated volume, the calculation gives 34.576 A^3/atom.

## CsPrHgTe3 (GGA-PBE)

Data for CsPrHgTe3 after structural relaxation.

It has space group P2_1/m (No. 11), with a = 10.150 Å, b = 4.672 Å, c = 11.299 Å, α = 90.00°, β = 109.71° and γ = 90.00°. The asymmetric unit holds Cs at (0.225, 0.250, 0.257), Pr at (0.322, 0.750, 0.865), Hg at (0.090, 0.250, 0.622), Te at (0.103, 0.250, 0.875), Te at (0.216, 0.750, 0.548) and Te at (0.473, 0.750, 0.158).

The value obtained for the formation energy (no corrections) is -993.4 meV per atom. The total energy comes out at -3.553 eV/atom. The crystal system is monoclinic. For the calculated volume, the calculation gives 42.037 A^3/atom.

## Cs2PrHg2Te4 (GGA-PBE)

Data for Cs2PrHg2Te4 after structural relaxation.

It has space group C2/m (No. 12), with a = 17.353 Å, b = 5.024 Å, c = 8.839 Å, α = 90.00°, β = 108.63° and γ = 90.00°. The asymmetric unit holds Cs at (0.134, 0.000, 0.082), Pr at (0.000, 0.000, 0.500), Hg at (0.168, 0.500, 0.494), Te at (0.002, 0.500, 0.260) and Te at (0.197, 0.000, 0.673).

The value obtained for the formation energy (no corrections) is -833.2 meV per atom. The total energy comes out at -3.017 eV/atom. The crystal system is monoclinic. For the calculated volume, the calculation gives 40.570 A^3/atom.

## Cs2Hg5Pt (GGA-PBE)

Data for Cs2Hg5Pt after structural relaxation.

It has space group P4/mmm (No. 123), with a = 7.338 Å, b = 7.338 Å, c = 5.505 Å, α = 90.00°, β = 90.00° and γ = 90.00°. The asymmetric unit holds Cs at (0.000, 0.500, 0.000), Hg at (0.000, 0.000, 0.000), Hg at (0.274, 0.274, 0.500) and Pt at (0.000, 0.000, 0.500).

The total energy comes out at -1.355 eV/atom. The crystal system is tetragonal. The calculated formation energy comes out at -0.1974 eV per atom. For the calculated volume, the calculation gives 37.051 A^3/atom.

## Cs2Hg3Pt (GGA-PBE)

Data for Cs2Hg3Pt after structural relaxation.

It has space group Pnnm (No. 58), with a = 6.663 Å, b = 13.173 Å, c = 4.722 Å, α = 90.00°, β = 90.00° and γ = 90.00°. The asymmetric unit holds Cs at (0.223, 0.205, 0.000), Hg at (0.000, 0.000, 0.500), Hg at (0.203, 0.428, 0.500) and Pt at (0.000, 0.500, 0.000).

Its polymorph energy (0 for the lowest one) is 0.21 eV/f.u. The total energy comes out at -1.596 eV/atom. The crystal system is orthorhombic. The calculated formation energy comes out at -0.1539 eV per atom. For the calculated volume, the calculation gives 34.537 A^3/atom.

## Cs4HgPt (GGA-PBE)

Data for Cs4HgPt after structural relaxation.

It has space group C2/m (No. 12), with a = 19.297 Å, b = 9.522 Å, c = 7.527 Å, α = 90.00°, β = 107.95° and γ = 90.00°. The asymmetric unit holds Cs at (0.000, 0.227, 0.000), Cs at (0.125, 0.261, 0.597), Cs at (0.166, 0.500, 0.123), Hg at (0.185, 0.000, 0.183) and Pt at (0.000, 0.500, 0.322).

The total energy comes out at -1.683 eV/atom. The crystal system is monoclinic. The calculated formation energy comes out at -0.0573 eV per atom. For the calculated volume, the calculation gives 54.822 A^3/atom.

## Cs5HgPt4 (GGA-PBE)

Data for Cs5HgPt4 after structural relaxation.

It has space group C2/m (No. 12), with a = 21.064 Å, b = 4.879 Å, c = 9.323 Å, α = 90.00°, β = 114.94° and γ = 90.00°. The asymmetric unit holds Cs at (0.000, 0.000, 0.000), Cs at (0.119, 0.500, 0.754), Cs at (0.214, 0.500, 0.299), Hg at (0.000, 0.000, 0.500), Pt at (0.069, 0.500, 0.376) and Pt at (0.107, 0.000, 0.398).

The total energy comes out at -2.921 eV/atom. The crystal system is monoclinic. The calculated formation energy comes out at -0.0474 eV per atom. For the calculated volume, the calculation gives 43.443 A^3/atom.

## Cs4Hg10Pt3 (GGA-PBE)

Data for Cs4Hg10Pt3 after structural relaxation.

It has space group I4/mmm (No. 139), with a = 5.451 Å, b = 5.451 Å, c = 41.078 Å, α = 90.00°, β = 90.00° and γ = 90.00°. The asymmetric unit holds Cs at (0.000, 0.000, 0.068), Cs at (0.000, 0.000, 0.203), Hg at (0.000, 0.000, 0.299), Hg at (0.000, 0.000, 0.433), Hg at (0.000, 0.500, 0.000), Hg at (0.000, 0.500, 0.135), Pt at (0.000, 0.000, 0.367) and Pt at (0.000, 0.000, 0.500).

The total energy comes out at -1.731 eV/atom. The crystal system is tetragonal. The calculated formation energy comes out at -0.2868 eV per atom. For the calculated volume, the calculation gives 35.900 A^3/atom.

## Cs6HgPt3 (GGA-PBE)

Data for Cs6HgPt3 after structural relaxation.

It has space group P2_1/c (No. 14), with a = 10.431 Å, b = 6.748 Å, c = 13.623 Å, α = 90.00°, β = 112.24° and γ = 90.00°. The asymmetric unit holds Cs at (0.063, 0.119, 0.196), Cs at (0.287, 0.075, 0.010), Cs at (0.316, 0.616, 0.212), Hg at (0.500, 0.000, 0.500), Pt at (0.000, 0.000, 0.500) and Pt at (0.219, 0.557, 0.952).

The total energy comes out at -2.379 eV/atom. The crystal system is monoclinic. The calculated formation energy comes out at -0.0245 eV per atom. For the calculated volume, the calculation gives 44.378 A^3/atom.

## Cs3Hg9Pt2 (GGA-PBE)

Data for Cs3Hg9Pt2 after structural relaxation.

It has space group P-3m1 (No. 164), with a = 7.5188 Å, b = 7.5188 Å, c = 9.1860 Å, α = 90.00°, β = 90.00° and γ = 120.00°. The asymmetric unit holds Cs at (0.0000, 0.0000, 0.0000), Cs at (0.3333, 0.6667, 0.3296), Hg at (0.0000, 0.5000, 0.0000), Hg at (0.1528, 0.3056, 0.6463) and Pt at (0.3333, 0.6667, 0.8162).

The total energy comes out at -1.453 eV/atom. The crystal system is trigonal. The calculated formation energy comes out at -0.2126 eV per atom. For the calculated volume, the calculation gives 32.124 A^3/atom.

## Cs4Hg3Pt2 (GGA-PBE)

Data for Cs4Hg3Pt2 after structural relaxation.

It has space group C2/m (No. 12), with a = 18.744 Å, b = 4.537 Å, c = 8.936 Å, α = 90.00°, β = 108.80° and γ = 90.00°. The asymmetric unit holds Cs at (0.074, 0.000, 0.373), Cs at (0.227, 0.500, 0.178), Hg at (0.000, 0.500, 0.000), Hg at (0.100, 0.500, 0.764) and Pt at (0.079, 0.000, 0.944).

The total energy comes out at -1.976 eV/atom. The crystal system is monoclinic. The calculated formation energy comes out at -0.1541 eV per atom. For the calculated volume, the calculation gives 39.962 A^3/atom.

## Cs3Hg3Pt (GGA-PBE)

Data for Cs3Hg3Pt after structural relaxation.

It has space group Cmce (No. 64), with a = 22.653 Å, b = 7.707 Å, c = 15.394 Å, α = 90.00°, β = 90.00° and γ = 90.00°. The asymmetric unit holds Cs at (0.000, 0.209, 0.141), Cs at (0.166, 0.202, 0.862), Hg at (0.000, 0.190, 0.402), Hg at (0.162, 0.191, 0.604) and Pt at (0.087, 0.000, 0.500).

Its polymorph energy (0 for the lowest one) is 0.00 eV/f.u. The total energy comes out at -1.585 eV/atom. The crystal system is orthorhombic. The calculated formation energy comes out at -0.2271 eV per atom. For the calculated volume, the calculation gives 47.992 A^3/atom.

## Cs3Hg4Pt (GGA-PBE)

Data for Cs3Hg4Pt after structural relaxation.

It has space group Imm2 (No. 44), with a = 6.735 Å, b = 8.737 Å, c = 10.750 Å, α = 90.00°, β = 90.00° and γ = 90.00°. The asymmetric unit holds Cs at (0.000, 0.000, 0.000), Cs at (0.000, 0.218, 0.607), Hg at (0.000, 0.321, 0.271), Hg at (0.239, 0.500, 0.838) and Pt at (0.000, 0.500, 0.054).

The total energy comes out at -1.420 eV/atom. The crystal system is orthorhombic. The calculated formation energy comes out at -0.1939 eV per atom. For the calculated volume, the calculation gives 39.536 A^3/atom.

## CsHgPt2 (GGA-PBE)

Data for CsHgPt2 after structural relaxation.

It has space group I-42d (No. 122), with a = 5.159 Å, b = 5.159 Å, c = 19.050 Å, α = 90.00°, β = 90.00° and γ = 90.00°. The asymmetric unit holds Cs at (0.000, 0.000, 0.000), Hg at (0.000, 0.000, 0.500) and Pt at (0.049, 0.250, 0.625).

The total energy comes out at -3.244 eV/atom. The crystal system is tetragonal. The calculated formation energy comes out at 0.0653 eV per atom. For the calculated volume, the calculation gives 31.684 A^3/atom.

## Cs2Hg6Pt (GGA-PBE)

Data for Cs2Hg6Pt after structural relaxation.

It has space group C2/m (No. 12), with a = 12.716 Å, b = 7.320 Å, c = 6.542 Å, α = 90.00°, β = 90.04° and γ = 90.00°. The asymmetric unit holds Cs at (0.168, 0.000, 0.313), Hg at (0.080, 0.257, 0.801), Hg at (0.160, 0.500, 0.198) and Pt at (0.000, 0.500, 0.500).

Its polymorph energy (0 for the lowest one) is 0.00 eV/f.u. The total energy comes out at -1.278 eV/atom. The crystal system is monoclinic. The calculated formation energy comes out at -0.2161 eV per atom. For the calculated volume, the calculation gives 33.831 A^3/atom.

## Cs2Hg6Pt (GGA-PBE)

Data for Cs2Hg6Pt after structural relaxation.

It has space group Fm-3m (No. 225), with a = 10.586 Å, b = 10.586 Å, c = 10.586 Å, α = 90.00°, β = 90.00° and γ = 90.00°. The asymmetric unit holds Cs at (0.250, 0.250, 0.250), Hg at (0.000, 0.000, 0.232) and Pt at (0.000, 0.000, 0.500).

Its polymorph energy (0 for the lowest one) is 0.39 eV/f.u. The total energy comes out at -1.235 eV/atom. The crystal system is cubic. The calculated formation energy comes out at -0.1727 eV per atom. For the calculated volume, the calculation gives 32.950 A^3/atom.

## Cs2Hg3Pt (GGA-PBE)

Data for Cs2Hg3Pt after structural relaxation.

It has space group Cmcm (No. 63), with a = 12.623 Å, b = 11.256 Å, c = 6.408 Å, α = 90.00°, β = 90.00° and γ = 90.00°. The asymmetric unit holds Cs at (0.161, 0.194, 0.250), Hg at (0.000, 0.100, 0.750), Hg at (0.127, 0.500, 0.000) and Pt at (0.000, 0.344, 0.750).

Its polymorph energy (0 for the lowest one) is 0.00 eV/f.u. The total energy comes out at -1.631 eV/atom. The crystal system is orthorhombic. The calculated formation energy comes out at -0.1890 eV per atom. For the calculated volume, the calculation gives 37.935 A^3/atom.

## Cs4Hg7Pt (GGA-PBE)

Data for Cs4Hg7Pt after structural relaxation.

It has space group C2/m (No. 12), with a = 17.986 Å, b = 5.367 Å, c = 12.058 Å, α = 90.00°, β = 110.13° and γ = 90.00°. The asymmetric unit holds Cs at (0.029, 0.000, 0.214), Cs at (0.204, 0.000, 0.709), Hg at (0.000, 0.000, 0.500), Hg at (0.138, 0.500, 0.450), Hg at (0.141, 0.500, 0.925), Hg at (0.180, 0.000, 0.054) and Pt at (0.000, 0.500, 0.500).

The total energy comes out at -1.166 eV/atom. The crystal system is monoclinic. The calculated formation energy comes out at -0.2022 eV per atom. For the calculated volume, the calculation gives 45.533 A^3/atom.

## CsHg2Pt2 (GGA-PBE)

Data for CsHg2Pt2 after structural relaxation.

It has space group I4/mmm (No. 139), with a = 4.484 Å, b = 4.484 Å, c = 12.760 Å, α = 90.00°, β = 90.00° and γ = 90.00°. The asymmetric unit holds Cs at (0.000, 0.000, 0.000), Hg at (0.000, 0.000, 0.383) and Pt at (0.000, 0.500, 0.250).

Its polymorph energy (0 for the lowest one) is 0.42 eV/f.u. The total energy comes out at -2.629 eV/atom. The crystal system is tetragonal. The calculated formation energy comes out at 0.0791 eV per atom. For the calculated volume, the calculation gives 25.652 A^3/atom.